Crystalline KMgMnF6 at its relaxed geometry. Source: the Alexandria database, functional PBE+U.

abc: 5.290 5.290 5.739
angles: 90.04 90.04 119.82
Fractional coordinates of all 9 atoms:
K  0.000  0.000  0.000
Mg  0.666  0.334  0.500
Mn  0.333  0.667  0.500
F  0.010  0.382  0.688
F  0.011  0.631  0.315
F  0.369  0.989  0.685
F  0.370  0.384  0.312
F  0.616  0.630  0.688
F  0.618  0.990  0.312

Output
Energy = -5.18 eV/atom
SG = C2